# Mg3Ga9Au2

Crystalline Mg3Ga9Au2 at its relaxed geometry (PBE, the Alexandria database).

The structure in POSCAR format:
```
Mg3Ga9Au2
1.0
4.361 0.000 0.000
2.180 7.828 -0.246
2.180 1.535 7.680
Ga Mg Au
9 3 2
Direct
0.145 0.575 0.135
0.145 0.135 0.575
0.855 0.425 0.865
0.000 0.500 0.500
0.650 0.975 0.725
0.350 0.025 0.275
0.650 0.725 0.975
0.350 0.275 0.025
0.855 0.865 0.425
0.302 0.698 0.698
0.698 0.302 0.302
0.000 0.000 0.000
0.500 0.674 0.326
0.500 0.326 0.674
```


# Mg5Ga2Au

Crystalline Mg5Ga2Au at its relaxed geometry (PBE, the Alexandria database).

The structure in POSCAR format:
```
Mg5Ga2Au
1.0
-4.082 -0.746 -1.821
-2.322 -0.521 5.417
-2.202 11.626 0.174
Au Ga Mg
2 4 10
Direct
0.000 0.000 0.500
0.000 0.500 0.000
0.500 0.638 0.647
0.500 0.362 0.353
0.500 0.862 0.147
0.500 0.138 0.853
0.000 0.114 0.269
0.000 0.886 0.731
0.500 0.668 0.897
0.000 0.386 0.769
0.000 0.000 0.000
0.500 0.332 0.103
0.500 0.832 0.397
0.500 0.168 0.603
0.000 0.614 0.231
0.000 0.500 0.500
```


# Mg8GaAu2

Crystalline Mg8GaAu2 at its relaxed geometry (PBE, the Alexandria database).

Output
Its polymorph energy (0 for the lowest one) is 10 meV per atom.

The structure in POSCAR format:
```
Mg8GaAu2
1.0
4.427 0.000 -1.347
-1.012 5.856 -3.326
0.045 0.644 8.093
Mg Ga Au
8 1 2
Direct
0.655 0.426 0.310
0.345 0.574 0.690
0.000 0.285 0.000
0.345 0.117 0.690
0.000 0.715 0.000
0.833 0.833 0.667
0.167 0.167 0.333
0.655 0.883 0.310
0.500 0.000 0.000
0.182 0.682 0.363
0.818 0.318 0.637
```


| no. | calculated total energy (eV per atom) | DFT formation energy (eV per atom) |
| --- | --- | --- |
| 1 | -2.904 | -0.15 |
| 2 | -2.422 | -0.26 |
| 3 | -2.336 | -0.31 |